Material: PmAl4ZnCu2
Method: DFT, GGA-PBE
State: optimized geometry

Properties
Calculated total energy ... -3.85 eV/atom
DOS(E_F) ... 9.0 states/eV/cell

a = 4.2545 Å, b = 4.2545 Å, c = 26.7212 Å
α = 90.00°, β = 90.00°, γ = 120.00°
Space group R-3m (No. 166, hexagonal axes)
Symmetry-distinct sites (fractional):
Pm  0.0000  0.0000  0.0000 [3 per cell]
Al  0.0000  0.0000  0.1260 [6 per cell]
Al  0.0000  0.0000  0.4035 [6 per cell]
Zn  0.0000  0.0000  0.5000 [3 per cell]
Cu  0.0000  0.0000  0.2356 [6 per cell]